! TeMoH2 (GGA-PBE, relaxed); values from VASP
&SYSTEM
  ibrav = 0, nat = 4, ntyp = 3
/
ATOMIC_SPECIES
H 1.01 H.upf
Te 127.60 Te.upf
Mo 95.94 Mo.upf
CELL_PARAMETERS angstrom
-3.129 -2.726 0.015
-3.707 1.088 -1.515
-1.344 -1.635 -3.569
ATOMIC_POSITIONS crystal
H 0.250 0.250 0.250
H 0.750 0.750 0.750
Te 0.500 0.500 0.500
Mo 0.000 0.000 0.000
! spin magnetization	2.58	μB/f.u.
! E above lowest polymorph	600	meV per atom
! DFT total energy	-4.047	eV/atom

---

! TeMoH2 (GGA-PBE, relaxed); values from VASP
&SYSTEM
  ibrav = 0, nat = 8, ntyp = 3
/
ATOMIC_SPECIES
H 1.01 H.upf
Te 127.60 Te.upf
Mo 95.94 Mo.upf
CELL_PARAMETERS angstrom
-3.484 2.508 -0.403
-0.454 0.058 4.288
1.336 5.922 2.230
ATOMIC_POSITIONS crystal
H 0.375 0.125 0.250
H 0.375 0.625 0.250
H 0.875 0.625 0.750
H 0.375 0.625 0.750
Te 0.000 0.000 0.000
Te 0.750 0.250 0.500
Mo 0.500 0.500 0.000
Mo 0.250 0.750 0.500
! spin magnetization	1.81	μB/f.u.
! E above lowest polymorph	0	meV per atom
! DFT total energy	-4.647	eV/atom

---

! TeMoH3 (GGA-PBE, relaxed); values from VASP
&SYSTEM
  ibrav = 0, nat = 5, ntyp = 3
/
ATOMIC_SPECIES
Te 127.60 Te.upf
H 1.01 H.upf
Mo 95.94 Mo.upf
CELL_PARAMETERS angstrom
3.716 0.000 0.000
0.000 3.716 0.000
0.000 0.000 3.716
ATOMIC_POSITIONS crystal
Te 0.500 0.500 0.500
H 0.000 0.500 0.000
H 0.000 0.000 0.500
H 0.500 0.000 0.000
Mo 0.000 0.000 0.000
! spin magnetization	0.26	μB/f.u.
! E above lowest polymorph	0	meV per atom
! DFT total energy	-4.295	eV/atom

---

! TeMoH3 (GGA-PBE, relaxed); values from VASP
&SYSTEM
  ibrav = 0, nat = 5, ntyp = 3
/
ATOMIC_SPECIES
Mo 95.94 Mo.upf
H 1.01 H.upf
Te 127.60 Te.upf
CELL_PARAMETERS angstrom
3.822 0.000 0.000
0.000 3.822 0.000
0.000 0.000 3.822
ATOMIC_POSITIONS crystal
Mo 0.500 0.500 0.500
H 0.000 0.000 0.500
H 0.500 0.000 0.000
H 0.000 0.500 0.000
Te 0.000 0.000 0.000
! spin magnetization	0.00	μB/f.u.
! E above lowest polymorph	993	meV per atom
! DFT total energy	-3.302	eV/atom